{
  "formula": "Cs2AgHgCl6",
  "functional": "PBE",
  "state": "optimized geometry",
  "dft_energy_ev_per_atom": -2.7067,
  "sg": "Fm-3m, No. 225",
  "lattice_angstrom": [[0.000, 5.275, 5.275], [5.275, 0.000, 5.275], [5.275, 5.275, 0.000]],
  "species": ["Ag", "Cl", "Cl", "Cl", "Cl", "Cl", "Cl", "Cs", "Cs", "Hg"],
  "frac_coords": [[0.000, 0.000, 0.000], [0.752, 0.248, 0.248], [0.248, 0.752, 0.248], [0.752, 0.752, 0.248], [0.248, 0.248, 0.752], [0.752, 0.248, 0.752], [0.248, 0.752, 0.752], [0.250, 0.250, 0.250], [0.750, 0.750, 0.750], [0.500, 0.500, 0.500]]
}

{
  "formula": "Cs2AgPbCl6",
  "functional": "PBE",
  "state": "optimized geometry",
  "polymorph_energy_ev_per_atom": 0.0014,
  "sg": "P2_1/c, No. 14",
  "lattice_angstrom": [[7.638, 0.000, 0.000], [0.000, 7.621, 0.000], [-7.638, 0.000, 10.806]],
  "species": ["Ag", "Ag", "Cl", "Cl", "Cl", "Cl", "Cl", "Cl", "Cl", "Cl", "Cl", "Cl", "Cl", "Cl", "Cs", "Cs", "Cs", "Cs", "Pb", "Pb"],
  "frac_coords": [[0.500, 0.000, 0.000], [0.500, 0.500, 0.500], [0.769, 0.230, 0.009], [0.740, 0.740, 0.010], [0.727, 0.999, 0.245], [0.273, 0.499, 0.255], [0.260, 0.240, 0.490], [0.231, 0.730, 0.491], [0.769, 0.270, 0.509], [0.740, 0.760, 0.510], [0.727, 0.501, 0.745], [0.273, 0.001, 0.755], [0.260, 0.260, 0.990], [0.231, 0.770, 0.991], [0.751, 0.492, 0.250], [0.249, 0.992, 0.250], [0.751, 0.008, 0.750], [0.249, 0.508, 0.750], [0.000, 0.500, 0.000], [0.000, 0.000, 0.500]]
}

{
  "formula": "Cs2AgPbCl6",
  "functional": "PBE",
  "state": "optimized geometry",
  "polymorph_energy_ev_per_atom": 0.0021,
  "sg": "I4/m, No. 87",
  "lattice_angstrom": [[6.505, -0.284, 3.998], [1.993, 6.914, -2.569], [-6.724, -1.045, 3.474]],
  "species": ["Ag", "Cl", "Cl", "Cl", "Cl", "Cl", "Cl", "Cs", "Cs", "Pb"],
  "frac_coords": [[0.500, 0.500, 0.000], [0.254, 0.254, 0.000], [0.746, 0.746, 0.000], [0.279, 0.768, 0.046], [0.768, 0.721, 0.489], [0.232, 0.279, 0.511], [0.721, 0.232, 0.954], [0.750, 0.250, 0.500], [0.250, 0.750, 0.500], [0.000, 0.000, 0.000]]
}

{
  "formula": "Cs2AgPbCl6",
  "functional": "PBE",
  "state": "optimized geometry",
  "polymorph_energy_ev_per_atom": 0.0000,
  "sg": "C2/m, No. 12",
  "lattice_angstrom": [[-2.655, 6.822, -2.180], [-6.793, 2.429, 2.507], [5.912, -0.432, 4.815]],
  "species": ["Ag", "Cl", "Cl", "Cl", "Cl", "Cl", "Cl", "Cs", "Cs", "Pb"],
  "frac_coords": [[0.500, 0.500, 0.500], [0.744, 0.255, 0.255], [0.255, 0.744, 0.255], [0.255, 0.255, 0.256], [0.745, 0.745, 0.744], [0.745, 0.256, 0.745], [0.256, 0.745, 0.745], [0.750, 0.750, 0.250], [0.250, 0.250, 0.750], [0.000, 0.000, 0.000]]
}

{
  "formula": "Cs2AgPbCl6",
  "functional": "PBE",
  "state": "optimized geometry",
  "polymorph_energy_ev_per_atom": 0.0299,
  "sg": "R-3m, No. 166",
  "lattice_angstrom": [[10.427, 6.182, 6.187], [11.119, -1.168, 7.761], [13.481, 1.506, 1.109]],
  "species": ["Ag", "Ag", "Cl", "Cl", "Cl", "Cl", "Cl", "Cl", "Cl", "Cl", "Cl", "Cl", "Cl", "Cl", "Cs", "Cs", "Cs", "Cs", "Pb", "Pb"],
  "frac_coords": [[0.413, 0.413, 0.413], [0.587, 0.587, 0.587], [0.624, 0.624, 0.116], [0.704, 0.209, 0.209], [0.209, 0.704, 0.209], [0.791, 0.791, 0.296], [0.884, 0.376, 0.376], [0.376, 0.884, 0.376], [0.116, 0.624, 0.624], [0.624, 0.116, 0.624], [0.209, 0.209, 0.704], [0.791, 0.296, 0.791], [0.296, 0.791, 0.791], [0.376, 0.376, 0.884], [0.125, 0.125, 0.125], [0.289, 0.289, 0.289], [0.711, 0.711, 0.711], [0.875, 0.875, 0.875], [0.000, 0.000, 0.000], [0.500, 0.500, 0.500]]
}

{
  "formula": "Cs2AgPbCl6",
  "functional": "PBE",
  "state": "optimized geometry",
  "polymorph_energy_ev_per_atom": 0.0005,
  "sg": "P-1, No. 2",
  "lattice_angstrom": [[-2.988, -3.665, 5.989], [5.073, -5.630, -0.915], [6.876, 5.132, 6.571]],
  "species": ["Ag", "Ag", "Cl", "Cl", "Cl", "Cl", "Cl", "Cl", "Cl", "Cl", "Cl", "Cl", "Cl", "Cl", "Cs", "Cs", "Cs", "Cs", "Pb", "Pb"],
  "frac_coords": [[0.450, 0.550, 0.000], [0.950, 0.050, 0.500], [0.203, 0.792, 0.000], [0.209, 0.303, 0.001], [0.451, 0.550, 0.245], [0.949, 0.050, 0.255], [0.189, 0.300, 0.499], [0.200, 0.810, 0.500], [0.700, 0.289, 0.500], [0.711, 0.799, 0.501], [0.951, 0.050, 0.745], [0.449, 0.549, 0.755], [0.692, 0.798, 0.999], [0.698, 0.309, 0.000], [0.950, 0.550, 0.250], [0.450, 0.050, 0.250], [0.450, 0.050, 0.750], [0.950, 0.550, 0.750], [0.950, 0.050, 0.000], [0.450, 0.550, 0.500]]
}